P:
This record from Alexandria describes a relaxed Ti4BPb2 crystal. The functional is PBE.

Magnetization = 0.00 Bohr magnetons per cell

Unit cell a=7.5199 b=10.6952 c=3.3057 alpha=90.00 beta=90.00 gamma=90.00
Closest atoms and distances in Å follow each position.
Element x y z (fractional)
Ti  0.1274  0.1776  0.0000  1 B 2.13
Ti  0.1681  0.9337  0.5000  2 B 2.20
Ti  0.3319  0.4337  0.5000  2 B 2.20
Ti  0.3726  0.6776  0.0000  1 B 2.13
Ti  0.6274  0.3224  0.0000  1 B 2.13
Ti  0.6681  0.5663  0.5000  2 B 2.20
Ti  0.8319  0.0663  0.5000  2 B 2.20
Ti  0.8726  0.8224  0.0000  1 B 2.13
B  0.0000  0.0000  0.0000  6 Ti 2.13-2.20
B  0.5000  0.5000  0.0000  6 Ti 2.13-2.20
Pb  0.0585  0.6445  0.5000  7 Ti 2.88-3.20, 1 Pb 3.21
Pb  0.4415  0.1445  0.5000  7 Ti 2.88-3.20, 1 Pb 3.21
Pb  0.5585  0.8555  0.5000  7 Ti 2.88-3.20, 1 Pb 3.21
Pb  0.9415  0.3555  0.5000  7 Ti 2.88-3.20, 1 Pb 3.21

***

Q:
This record from Alexandria describes a relaxed Ti4BPb2 crystal. The functional is PBE.

Magnetization = 0.04 Bohr magnetons per cell

Unit cell a=7.8617 b=7.8617 c=7.8617 alpha=148.37 beta=148.37 gamma=45.34
Closest atoms and distances in Å follow each position.
Element x y z (fractional)
Ti  0.0000  0.5000  0.5000  2 B 2.14
Ti  0.1485  0.1485  0.0000  1 B 2.15
Ti  0.5000  0.0000  0.5000  2 B 2.14
Ti  0.8515  0.8515  0.0000  1 B 2.15
B  0.0000  0.0000  0.0000  6 Ti 2.14-2.15
Pb  0.3514  0.3514  0.0000  9 Ti 2.94-3.04
Pb  0.6486  0.6486  0.0000  9 Ti 2.94-3.04

***

It is P that is the least stable of them.

***

P:
This record from Alexandria describes a relaxed TlBPb2 crystal. The functional is PBE.

Magnetization = 0.00 Bohr magnetons per cell

Unit cell a=5.2515 b=5.2515 c=5.2515 alpha=60.00 beta=60.00 gamma=60.00
Closest atoms and distances in Å follow each position.
Element x y z (fractional)
Tl  0.0000  0.0000  0.0000  8 Pb 3.22
B  0.5000  0.5000  0.5000  8 Pb 3.22
Pb  0.2500  0.2500  0.2500  4 B 3.22, 4 Tl 3.22
Pb  0.7500  0.7500  0.7500  4 B 3.22, 4 Tl 3.22

***

Q:
This record from Alexandria describes a relaxed TlBPb2 crystal. The functional is PBE.

Magnetization = 0.00 Bohr magnetons per cell

Unit cell a=7.2310 b=7.2310 c=7.2310 alpha=125.67 beta=125.67 gamma=80.43
Closest atoms and distances in Å follow each position.
Element x y z (fractional)
Tl  0.0000  0.0000  0.0000  4 Pb 3.13
Tl  0.7500  0.2500  0.5000  4 Pb 3.13
B  0.2500  0.7500  0.5000  4 Pb 2.39
B  0.5000  0.5000  0.0000  4 Pb 2.39
Pb  0.2184  0.6250  0.0934  2 B 2.39
Pb  0.3750  0.4684  0.5934  2 B 2.39
Pb  0.5316  0.1250  0.9066  2 B 2.39
Pb  0.8750  0.7816  0.4066  2 B 2.39

***

It is P that is the least stable of them.

***

P:
This record from Alexandria describes a relaxed Tm6BPb2 crystal. The functional is PBE.

Magnetization = 0.00 Bohr magnetons per cell

Unit cell a=6.9264 b=6.9264 c=6.9264 alpha=120.05 beta=120.05 gamma=89.91
Closest atoms and distances in Å follow each position.
Element x y z (fractional)
Tm  0.2484  0.2484  0.0000  1 B 2.43
Tm  0.2483  0.2483  0.4966  1 B 2.43
Tm  0.2483  0.7517  0.0000  1 B 2.43
Tm  0.7517  0.2483  0.0000  1 B 2.43
Tm  0.7516  0.7516  0.0000  1 B 2.43
Tm  0.7517  0.7517  0.5034  1 B 2.43
B  0.0000  0.0000  0.0000  6 Tm 2.43
Pb  0.2500  0.7500  0.5000  12 Tm 3.46
Pb  0.7500  0.2500  0.5000  12 Tm 3.46

***

Q:
This record from Alexandria describes a relaxed Tm6BPb2 crystal. The functional is PBE.

Magnetization = 0.00 Bohr magnetons per cell

Unit cell a=8.4535 b=8.4535 c=8.4535 alpha=146.28 beta=130.91 gamma=60.88
Closest atoms and distances in Å follow each position.
Element x y z (fractional)
Tm  0.0810  0.3497  0.7313  1 B 2.73
Tm  0.2180  0.0000  0.2180  2 B 2.89, 1 Tm 3.06, 2 Pb 3.13
Tm  0.3816  0.6503  0.7313  1 B 2.73
Tm  0.6184  0.3497  0.2687  1 B 2.73
Tm  0.7820  0.0000  0.7820  2 B 2.89, 1 Tm 3.06, 2 Pb 3.13
Tm  0.9190  0.6503  0.2687  1 B 2.73
B  0.0000  0.5000  0.5000  8 Tm 2.73-2.89
Pb  0.3339  0.8339  0.5000  8 Tm 3.10-3.13
Pb  0.6661  0.1661  0.5000  8 Tm 3.10-3.13

***

It is Q that is the least stable of them.

***

P:
This record from Alexandria describes a relaxed VBPb3 crystal. The functional is PBE.

Magnetization = 0.38 Bohr magnetons per cell

Unit cell a=5.2757 b=5.2757 c=5.2757 alpha=90.00 beta=90.00 gamma=90.00
Closest atoms and distances in Å follow each position.
Element x y z (fractional)
V  0.0000  0.0000  0.0000  6 Pb 2.64
B  0.5000  0.5000  0.5000  12 Pb 3.73
Pb  0.0000  0.0000  0.5000  2 V 2.64
Pb  0.0000  0.5000  0.0000  2 V 2.64
Pb  0.5000  0.0000  0.0000  2 V 2.64

***

Q:
This record from Alexandria describes a relaxed VBPb3 crystal. The functional is PBE.

Magnetization = 3.87 Bohr magnetons per cell

Unit cell a=5.0173 b=5.0173 c=5.0173 alpha=90.00 beta=90.00 gamma=90.00
Closest atoms and distances in Å follow each position.
Element x y z (fractional)
V  0.0000  0.0000  0.0000  12 Pb 3.55
B  0.5000  0.5000  0.5000  6 Pb 2.51
Pb  0.0000  0.5000  0.5000  2 B 2.51
Pb  0.5000  0.0000  0.5000  2 B 2.51
Pb  0.5000  0.5000  0.0000  2 B 2.51

***

It is P that is the least stable of them.

***

P:
This record from Alexandria describes a relaxed V2BPb crystal. The functional is PBE.

Magnetization = 0.00 Bohr magnetons per cell

Unit cell a=7.7202 b=7.7202 c=7.7202 alpha=24.48 beta=24.48 gamma=24.48
Closest atoms and distances in Å follow each position.
Element x y z (fractional)
V  0.1252  0.1252  0.1252  3 B 2.11
V  0.8748  0.8748  0.8748  3 B 2.11
B  0.5000  0.5000  0.5000  6 V 2.11
Pb  0.0000  0.0000  0.0000  2 V 2.81

***

Q:
This record from Alexandria describes a relaxed V2BPb crystal. The functional is PBE.

Magnetization = 0.99 Bohr magnetons per cell

Unit cell a=4.3455 b=4.3455 c=4.3455 alpha=60.00 beta=60.00 gamma=60.00
Closest atoms and distances in Å follow each position.
Element x y z (fractional)
V  0.2500  0.2500  0.2500  4 Pb 2.66, 4 B 2.66
V  0.7500  0.7500  0.7500  4 Pb 2.66, 4 B 2.66
B  0.0000  0.0000  0.0000  8 V 2.66
Pb  0.5000  0.5000  0.5000  8 V 2.66

***

It is Q that is the least stable of them.

***

P:
This record from Alexandria describes a relaxed VB2Pb2 crystal. The functional is PBE.

Magnetization = 6.07 Bohr magnetons per cell

Unit cell a=7.4045 b=7.4045 c=3.3847 alpha=90.00 beta=90.00 gamma=90.00
Closest atoms and distances in Å follow each position.
Element x y z (fractional)
V  0.0000  0.0000  0.0000  4 Pb 2.82
V  0.5000  0.5000  0.0000  4 Pb 2.82
B  0.1505  0.3495  0.5000  6 Pb 2.68-2.80
B  0.3495  0.8495  0.5000  6 Pb 2.68-2.80
B  0.6505  0.1505  0.5000  6 Pb 2.68-2.80
B  0.8495  0.6505  0.5000  6 Pb 2.68-2.80
Pb  0.1507  0.6507  0.0000  6 B 2.68-2.80, 2 V 2.82
Pb  0.3493  0.1507  0.0000  6 B 2.68-2.80, 2 V 2.82
Pb  0.6507  0.8493  0.0000  6 B 2.68-2.80, 2 V 2.82
Pb  0.8493  0.3493  0.0000  6 B 2.68-2.80, 2 V 2.82

***

Q:
This record from Alexandria describes a relaxed VB2Pb2 crystal. The functional is PBE.

Magnetization = 0.00 Bohr magnetons per cell

Unit cell a=9.8738 b=9.8738 c=9.8738 alpha=162.79 beta=162.79 gamma=24.44
Closest atoms and distances in Å follow each position.
Element x y z (fractional)
V  0.0000  0.0000  0.0000  4 V 2.96, 8 Pb 3.05
B  0.2500  0.7500  0.5000  4 B 2.09
B  0.7500  0.2500  0.5000  4 B 2.09
Pb  0.3850  0.3850  0.0000  4 Pb 2.96, 4 B 3.00, 4 V 3.05
Pb  0.6150  0.6150  0.0000  4 Pb 2.96, 4 B 3.00, 4 V 3.05

***

It is P that is the least stable of them.

***

P:
This record from Alexandria describes a relaxed BPbW3 crystal. The functional is PBE.

Magnetization = 0.00 Bohr magnetons per cell

Unit cell a=4.3164 b=4.3164 c=4.3164 alpha=90.00 beta=90.00 gamma=90.00
Closest atoms and distances in Å follow each position.
Element x y z (fractional)
B  0.0000  0.0000  0.0000  6 W 2.16
Pb  0.5000  0.5000  0.5000  12 W 3.05
W  0.0000  0.0000  0.5000  2 B 2.16
W  0.0000  0.5000  0.0000  2 B 2.16
W  0.5000  0.0000  0.0000  2 B 2.16

***

Q:
This record from Alexandria describes a relaxed BPbW3 crystal. The functional is PBE.

Magnetization = 0.00 Bohr magnetons per cell

Unit cell a=4.9991 b=4.9991 c=4.9991 alpha=90.00 beta=90.00 gamma=90.00
Closest atoms and distances in Å follow each position.
Element x y z (fractional)
B  0.0000  0.0000  0.0000  12 W 3.53
Pb  0.5000  0.5000  0.5000  6 W 2.50
W  0.0000  0.5000  0.5000  2 Pb 2.50
W  0.5000  0.0000  0.5000  2 Pb 2.50
W  0.5000  0.5000  0.0000  2 Pb 2.50

***

It is Q that is the least stable of them.

***

P:
This record from Alexandria describes a relaxed BPb3W crystal. The functional is PBE.

Magnetization = 0.82 Bohr magnetons per cell

Unit cell a=5.4117 b=5.4117 c=5.4117 alpha=90.00 beta=90.00 gamma=90.00
Closest atoms and distances in Å follow each position.
Element x y z (fractional)
B  0.0000  0.0000  0.0000  12 Pb 3.83
Pb  0.0000  0.5000  0.5000  2 W 2.71
Pb  0.5000  0.0000  0.5000  2 W 2.71
Pb  0.5000  0.5000  0.0000  2 W 2.71
W  0.5000  0.5000  0.5000  6 Pb 2.71

***

Q:
This record from Alexandria describes a relaxed BPb3W crystal. The functional is PBE.

Magnetization = 3.50 Bohr magnetons per cell

Unit cell a=4.9778 b=4.9778 c=4.9778 alpha=90.00 beta=90.00 gamma=90.00
Closest atoms and distances in Å follow each position.
Element x y z (fractional)
B  0.0000  0.0000  0.0000  6 Pb 2.49
Pb  0.0000  0.0000  0.5000  2 B 2.49
Pb  0.0000  0.5000  0.0000  2 B 2.49
Pb  0.5000  0.0000  0.0000  2 B 2.49
W  0.5000  0.5000  0.5000  12 Pb 3.52

***

It is Q that is the least stable of them.

***

P:
This record from Alexandria describes a relaxed BPbW2 crystal. The functional is PBE.

Magnetization = 0.00 Bohr magnetons per cell

Unit cell a=7.4048 b=7.4048 c=7.4048 alpha=140.10 beta=140.10 gamma=57.70
Closest atoms and distances in Å follow each position.
Element x y z (fractional)
B  0.0000  0.0000  0.0000  4 W 2.12
B  0.7500  0.2500  0.5000  4 W 2.12
Pb  0.2500  0.7500  0.5000  4 W 2.88
Pb  0.5000  0.5000  0.0000  4 W 2.88
W  0.3750  0.2255  0.3505  2 B 2.12
W  0.7745  0.1250  0.1495  2 B 2.12
W  0.8750  0.0245  0.6495  2 B 2.12
W  0.9755  0.6250  0.8505  2 B 2.12

***

Q:
This record from Alexandria describes a relaxed BPbW2 crystal. The functional is PBE.

Magnetization = 0.00 Bohr magnetons per cell

Unit cell a=4.4650 b=4.4650 c=4.4650 alpha=60.00 beta=60.00 gamma=60.00
Closest atoms and distances in Å follow each position.
Element x y z (fractional)
B  0.0000  0.0000  0.0000  8 W 2.73
Pb  0.5000  0.5000  0.5000  8 W 2.73
W  0.2500  0.2500  0.2500  4 Pb 2.73, 4 B 2.73
W  0.7500  0.7500  0.7500  4 Pb 2.73, 4 B 2.73

***

It is Q that is the least stable of them.

***

P:
This record from Alexandria describes a relaxed YBPb3 crystal. The functional is PBE.

Magnetization = 0.00 Bohr magnetons per cell

Unit cell a=5.1102 b=5.1102 c=5.1102 alpha=90.00 beta=90.00 gamma=90.00
Closest atoms and distances in Å follow each position.
Element x y z (fractional)
Y  0.0000  0.0000  0.0000  12 Pb 3.61
B  0.5000  0.5000  0.5000  6 Pb 2.56
Pb  0.0000  0.5000  0.5000  2 B 2.56
Pb  0.5000  0.0000  0.5000  2 B 2.56
Pb  0.5000  0.5000  0.0000  2 B 2.56

***

Q:
This record from Alexandria describes a relaxed YBPb3 crystal. The functional is PBE.

Magnetization = 0.00 Bohr magnetons per cell

Unit cell a=5.8859 b=5.8859 c=5.8859 alpha=90.00 beta=90.00 gamma=90.00
Closest atoms and distances in Å follow each position.
Element x y z (fractional)
Y  0.0000  0.0000  0.0000  6 Pb 2.94
B  0.5000  0.5000  0.5000  12 Pb 4.16
Pb  0.0000  0.0000  0.5000  2 Y 2.94
Pb  0.0000  0.5000  0.0000  2 Y 2.94
Pb  0.5000  0.0000  0.0000  2 Y 2.94

***

It is Q that is the least stable of them.

***

P:
This record from Alexandria describes a relaxed Zn3BPb crystal. The functional is PBE.

Magnetization = 0.00 Bohr magnetons per cell

Unit cell a=5.3302 b=5.3302 c=5.3302 alpha=90.00 beta=90.00 gamma=90.00
Closest atoms and distances in Å follow each position.
Element x y z (fractional)
Zn  0.0000  0.0000  0.5000  2 Pb 2.67
Zn  0.0000  0.5000  0.0000  2 Pb 2.67
Zn  0.5000  0.0000  0.0000  2 Pb 2.67
B  0.5000  0.5000  0.5000  12 Zn 3.77
Pb  0.0000  0.0000  0.0000  6 Zn 2.67

***

Q:
This record from Alexandria describes a relaxed Zn3BPb crystal. The functional is PBE.

Magnetization = 0.00 Bohr magnetons per cell

Unit cell a=4.4218 b=4.4218 c=4.4218 alpha=90.00 beta=90.00 gamma=90.00
Closest atoms and distances in Å follow each position.
Element x y z (fractional)
Zn  0.0000  0.0000  0.5000  2 B 2.21
Zn  0.0000  0.5000  0.0000  2 B 2.21
Zn  0.5000  0.0000  0.0000  2 B 2.21
B  0.0000  0.0000  0.0000  6 Zn 2.21
Pb  0.5000  0.5000  0.5000  12 Zn 3.13

***

It is P that is the least stable of them.

***

P:
This record from Alexandria describes a relaxed Zn2BPb crystal. The functional is PBE.

Magnetization = 0.00 Bohr magnetons per cell

Unit cell a=4.6941 b=4.6941 c=4.6941 alpha=60.00 beta=60.00 gamma=60.00
Closest atoms and distances in Å follow each position.
Element x y z (fractional)
Zn  0.2500  0.2500  0.2500  4 Pb 2.87, 4 B 2.87
Zn  0.7500  0.7500  0.7500  4 Pb 2.87, 4 B 2.87
B  0.0000  0.0000  0.0000  8 Zn 2.87
Pb  0.5000  0.5000  0.5000  8 Zn 2.87

***

Q:
This record from Alexandria describes a relaxed Zn2BPb crystal. The functional is PBE.

Magnetization = 0.00 Bohr magnetons per cell

Unit cell a=7.6498 b=7.6498 c=7.6498 alpha=143.42 beta=143.42 gamma=52.69
Closest atoms and distances in Å follow each position.
Element x y z (fractional)
Zn  0.3750  0.0751  0.2001  2 B 2.11
Zn  0.8251  0.6250  0.7001  2 B 2.11
Zn  0.8750  0.1749  0.7999  2 B 2.11
Zn  0.9249  0.1250  0.2999  2 B 2.11
B  0.0000  0.0000  0.0000  4 Zn 2.11
B  0.7500  0.2500  0.5000  4 Zn 2.11
Pb  0.2500  0.7500  0.5000  4 Zn 3.01
Pb  0.5000  0.5000  0.0000  4 Zn 3.01

***

It is P that is the least stable of them.

***

P:
This record from Alexandria describes a relaxed ZrB3Pb crystal. The functional is PBE.

Magnetization = 0.00 Bohr magnetons per cell

Unit cell a=4.4690 b=4.4690 c=4.4690 alpha=90.00 beta=90.00 gamma=90.00
Closest atoms and distances in Å follow each position.
Element x y z (fractional)
Zr  0.0000  0.0000  0.0000  12 B 3.16
B  0.0000  0.5000  0.5000  2 Pb 2.23
B  0.5000  0.0000  0.5000  2 Pb 2.23
B  0.5000  0.5000  0.0000  2 Pb 2.23
Pb  0.5000  0.5000  0.5000  6 B 2.23

***

Q:
This record from Alexandria describes a relaxed ZrB3Pb crystal. The functional is PBE.

Magnetization = 0.00 Bohr magnetons per cell

Unit cell a=4.5563 b=4.5563 c=4.5563 alpha=90.00 beta=90.00 gamma=90.00
Closest atoms and distances in Å follow each position.
Element x y z (fractional)
Zr  0.0000  0.0000  0.0000  6 B 2.28
B  0.0000  0.0000  0.5000  2 Zr 2.28
B  0.0000  0.5000  0.0000  2 Zr 2.28
B  0.5000  0.0000  0.0000  2 Zr 2.28
Pb  0.5000  0.5000  0.5000  12 B 3.22

***

It is P that is the least stable of them.